The following is a DFT calculation (PBE-GGA) of a relaxed V2SnPt crystal.

Lattice parameters (Å, degrees): 5.772 5.772 5.772 102.75 102.75 123.97
Fractional positions:
V 0.099 0.625 0.974
V 0.375 0.349 0.474
V 0.651 0.125 0.026
V 0.875 0.901 0.526
Sn 0.250 0.750 0.500
Sn 0.500 0.500 0.000
Pt 0.000 0.000 0.000
Pt 0.750 0.250 0.500

Calculated values
* formation energy: 0.78 eV per formula unit
* space-group type: I-42d, No. 122